The following is a PBE-GGA calculation of a geometry-optimized SmTiPt6 structure, from Alexandria via LeMat-Bulk.

**ΔE_f**: -905 meV per atom
**Crystal system**: tetragonal

Geometry as POSCAR:
```
SmTiPt6
1.0
4.063 0.000 0.000
0.000 4.063 0.000
0.000 0.000 8.123
Pt Ti Sm
6 1 1
direct
0.500 0.500 0.000
0.000 0.500 0.731
0.000 0.500 0.269
0.500 0.000 0.269
0.500 0.000 0.731
0.500 0.500 0.500
0.000 0.000 0.500
0.000 0.000 0.000
```

---

The following is a PBE-GGA calculation of a geometry-optimized BaNaTeI2 structure, from Alexandria via LeMat-Bulk.

**Formation energy (no corrections)**: -0.8682 eV per atom
**Crystal system**: tetragonal

Geometry as POSCAR:
```
BaNaTeI2
1.0
-2.277 4.459 4.514
-5.827 -3.367 0.387
2.516 -3.779 5.003
Ba Na I Te
1 1 2 1
direct
0.000 0.000 0.000
0.500 0.500 0.500
0.000 0.500 0.000
0.500 0.000 0.000
0.000 0.000 0.500
```

---

The following is a PBE-GGA calculation of a geometry-optimized NdHf2Zr structure, from Alexandria via LeMat-Bulk.

**ΔE_f**: 167 meV per atom
**Crystal system**: trigonal

Geometry as POSCAR:
```
NdHf2Zr
1.0
3.273 0.000 0.000
1.637 2.835 0.000
1.637 0.945 10.789
Hf Zr Nd
2 1 1
direct
0.256 0.256 0.232
0.077 0.077 0.769
0.667 0.667 0.000
0.500 0.500 0.500
```